No. 1
MnNb: optimized geometry, PBE.

a b c (Å): 5.6957 5.6957 5.6957
angles (deg): 98.55 98.55 134.63
With the nearest neighbours (Å) after each atom.
Fractional coordinates of all 8 atoms:
Mn  0.1383  0.8299  0.9682  2 Mn 2.30, 2 Nb 2.57
Mn  0.1701  0.1383  0.3085  2 Mn 2.30, 2 Nb 2.57
Mn  0.8299  0.8617  0.6915  2 Mn 2.30, 2 Nb 2.57
Mn  0.8617  0.1701  0.0318  2 Mn 2.30, 2 Nb 2.57
Nb  0.1996  0.4868  0.6863  6 Mn 2.57-2.85
Nb  0.4868  0.8004  0.2872  6 Mn 2.57-2.85
Nb  0.5132  0.1996  0.7128  6 Mn 2.57-2.85
Nb  0.8004  0.5132  0.3137  6 Mn 2.57-2.85

Results
**Space group**: I4/m (87)
**Calculated volume**: 30 Å³/f.u.

=====

No. 2
MnNb: optimized geometry, PBE.

a b c (Å): 6.8531 6.8531 6.8531
angles (deg): 90.00 90.00 90.00
With the nearest neighbours (Å) after each atom.
Fractional coordinates of all 12 atoms:
Mn  0.0000  0.2500  0.5000  4 Nb 2.42
Mn  0.0000  0.7500  0.5000  4 Nb 2.42
Mn  0.2500  0.5000  0.0000  4 Nb 2.42
Mn  0.5000  0.0000  0.2500  4 Nb 2.42
Mn  0.5000  0.0000  0.7500  4 Nb 2.42
Mn  0.7500  0.5000  0.0000  4 Nb 2.42
Nb  0.0000  0.5000  0.2500  4 Mn 2.42
Nb  0.0000  0.5000  0.7500  4 Mn 2.42
Nb  0.2500  0.0000  0.5000  4 Mn 2.42
Nb  0.5000  0.2500  0.0000  4 Mn 2.42
Nb  0.5000  0.7500  0.0000  4 Mn 2.42
Nb  0.7500  0.0000  0.5000  4 Mn 2.42

Results
**Space group**: Pm-3n (223)
**Calculated volume**: 54 Å³/f.u.

=====

No. 3
MnNb: optimized geometry, PBE.

a b c (Å): 6.3053 5.7615 5.1228
angles (deg): 70.52 59.48 49.99
With the nearest neighbours (Å) after each atom.
Fractional coordinates of all 8 atoms:
Mn  0.0522  0.6978  0.6978  1 Mn 2.22
Mn  0.3022  0.9478  0.9478  1 Mn 2.22
Mn  0.6978  0.0522  0.0522  1 Mn 2.22
Mn  0.9478  0.3022  0.3022  1 Mn 2.22
Nb  0.1821  0.5679  0.1821  6 Mn 2.50-2.73
Nb  0.4321  0.8179  0.4321  6 Mn 2.50-2.73
Nb  0.5679  0.1821  0.5679  6 Mn 2.50-2.73
Nb  0.8179  0.4321  0.8179  6 Mn 2.50-2.73

Results
**Space group**: Fddd (70)
**Calculated volume**: 31 Å³/f.u.

=====

No. 4
MnNb: optimized geometry, PBE.

a b c (Å): 6.3484 6.3484 6.3484
angles (deg): 152.06 58.84 129.35
With the nearest neighbours (Å) after each atom.
Fractional coordinates of all 6 atoms:
Mn  0.0000  0.0000  0.0000  1 Nb 2.49, 4 Mn 2.49
Mn  0.6142  0.2360  0.3782  4 Nb 2.43-2.54, 3 Mn 2.49-2.69
Mn  0.8578  0.2360  0.6218  4 Nb 2.43-2.54, 3 Mn 2.49-2.69
Nb  0.0081  0.7160  0.2921  2 Mn 2.43
Nb  0.4238  0.7160  0.7079  2 Mn 2.43
Nb  0.4587  0.4587  0.0000  5 Mn 2.49-2.54

Results
**Space group**: Imm2 (44)
**Calculated volume**: 31 Å³/f.u.

=====

No. 5
MnNb: optimized geometry, PBE.

a b c (Å): 5.0417 5.0417 5.0702
angles (deg): 90.00 90.00 90.00
With the nearest neighbours (Å) after each atom.
Fractional coordinates of all 8 atoms:
Mn  0.2012  0.2012  0.0000  6 Nb 2.51-2.61
Mn  0.2988  0.7012  0.5000  6 Nb 2.51-2.61
Mn  0.7012  0.2988  0.5000  6 Nb 2.51-2.61
Mn  0.7988  0.7988  0.0000  6 Nb 2.51-2.61
Nb  0.2104  0.2104  0.5000  6 Mn 2.51-2.61
Nb  0.2896  0.7104  0.0000  6 Mn 2.51-2.61
Nb  0.7104  0.2896  0.0000  6 Mn 2.51-2.61
Nb  0.7896  0.7896  0.5000  6 Mn 2.51-2.61

Results
**Space group**: P4_2/mnm (136)
**Calculated volume**: 32 Å³/f.u.

=====

No. 6
MnNb: optimized geometry, PBE.

a b c (Å): 6.8619 6.8619 6.8619
angles (deg): 109.47 109.47 109.47
With the nearest neighbours (Å) after each atom.
Fractional coordinates of all 8 atoms:
Mn  0.0000  0.0000  0.6530  4 Nb 2.46-2.69
Mn  0.0000  0.6530  0.0000  4 Nb 2.46-2.69
Mn  0.3470  0.3470  0.3470  4 Nb 2.46-2.69
Mn  0.6530  0.0000  0.0000  4 Nb 2.46-2.69
Nb  0.0000  0.0000  0.2614  4 Mn 2.46-2.69
Nb  0.0000  0.2614  0.0000  4 Mn 2.46-2.69
Nb  0.2614  0.0000  0.0000  4 Mn 2.46-2.69
Nb  0.7386  0.7386  0.7386  4 Mn 2.46-2.69

Results
**Space group**: I-43m (217)
**Calculated volume**: 62 Å³/f.u.

=====

No. 7
MnNb: optimized geometry, PBE.

a b c (Å): 3.0966 3.0966 6.1636
angles (deg): 90.00 90.00 90.00
With the nearest neighbours (Å) after each atom.
Fractional coordinates of all 4 atoms:
Mn  0.2500  0.2500  0.1188  5 Nb 2.62-2.90, 4 Mn 2.63
Mn  0.7500  0.7500  0.8812  5 Nb 2.62-2.90, 4 Mn 2.63
Nb  0.2500  0.2500  0.6487  5 Mn 2.62-2.90, 4 Nb 2.86
Nb  0.7500  0.7500  0.3513  5 Mn 2.62-2.90, 4 Nb 2.86

Results
**Space group**: P4/nmm (129)
**Calculated volume**: 30 Å³/f.u.

=====

No. 8
MnNb: optimized geometry, PBE.

a b c (Å): 7.3032 7.3032 4.0344
angles (deg): 90.00 90.00 120.00
With the nearest neighbours (Å) after each atom.
Fractional coordinates of all 12 atoms:
Mn  0.1219  0.5610  0.2500  4 Mn 2.32-2.54, 2 Nb 2.57
Mn  0.4390  0.5610  0.2500  4 Mn 2.32-2.54, 2 Nb 2.57
Mn  0.4390  0.8781  0.2500  4 Mn 2.32-2.54, 2 Nb 2.57
Mn  0.5610  0.1219  0.7500  4 Mn 2.32-2.54, 2 Nb 2.57
Mn  0.5610  0.4390  0.7500  4 Mn 2.32-2.54, 2 Nb 2.57
Mn  0.8781  0.4390  0.7500  4 Mn 2.32-2.54, 2 Nb 2.57
Nb  0.1696  0.3393  0.7500  6 Mn 2.57-2.72
Nb  0.1696  0.8304  0.7500  6 Mn 2.57-2.72
Nb  0.3393  0.1696  0.2500  6 Mn 2.57-2.72
Nb  0.6607  0.8304  0.7500  6 Mn 2.57-2.72
Nb  0.8304  0.1696  0.2500  6 Mn 2.57-2.72
Nb  0.8304  0.6607  0.2500  6 Mn 2.57-2.72

Results
**Space group**: P6_3/mmc (194)
**Calculated volume**: 31 Å³/f.u.

=====

No. 9
MnNbNi4: optimized geometry, PBE.

a b c (Å): 4.4845 4.4845 5.2334
angles (deg): 107.03 107.03 47.36
With the nearest neighbours (Å) after each atom.
Fractional coordinates of all 6 atoms:
Mn  0.0000  0.0000  0.0000  10 Ni 2.55-2.58, 2 Nb 2.62
Nb  0.0000  0.0000  0.5000  10 Ni 2.60-2.61, 2 Mn 2.62
Ni  0.3289  0.3289  0.1594  7 Ni 2.51-2.69, 3 Mn 2.56-2.58, 2 Nb 2.61
Ni  0.3337  0.3337  0.6759  7 Ni 2.54-2.69, 2 Mn 2.55, 3 Nb 2.60
Ni  0.6663  0.6663  0.3241  7 Ni 2.54-2.69, 2 Mn 2.55, 3 Nb 2.60
Ni  0.6711  0.6711  0.8406  7 Ni 2.51-2.69, 3 Mn 2.56-2.58, 2 Nb 2.61

Results
**Space group**: C2/m (12)
**Calculated volume**: 73 Å³/f.u.

=====

No. 10
Mn2NbNi8: optimized geometry, PBE.

a b c (Å): 6.7273 6.7273 6.7273
angles (deg): 148.22 120.71 68.86
With the nearest neighbours (Å) after each atom.
Fractional coordinates of all 11 atoms:
Mn  0.1807  0.1807  0.0000  10 Ni 2.42-2.56
Mn  0.8193  0.8193  0.0000  10 Ni 2.42-2.56
Nb  0.5000  0.5000  0.0000  12 Ni 2.55-2.65
Ni  0.0689  0.3357  0.7332  3 Mn 2.42-2.47, 7 Ni 2.49-2.66, 1 Nb 2.55
Ni  0.2134  0.0000  0.2134  2 Mn 2.46, 6 Ni 2.59-2.60, 2 Nb 2.65
Ni  0.3403  0.8403  0.5000  8 Ni 2.49-2.60, 2 Mn 2.56, 2 Nb 2.56
Ni  0.3974  0.6643  0.7332  3 Mn 2.42-2.47, 7 Ni 2.49-2.66, 1 Nb 2.55
Ni  0.6026  0.3357  0.2668  3 Mn 2.42-2.47, 7 Ni 2.49-2.66, 1 Nb 2.55
Ni  0.6597  0.1597  0.5000  8 Ni 2.49-2.60, 2 Mn 2.56, 2 Nb 2.56
Ni  0.7866  0.0000  0.7866  2 Mn 2.46, 6 Ni 2.59-2.60, 2 Nb 2.65
Ni  0.9311  0.6643  0.2668  3 Mn 2.42-2.47, 7 Ni 2.49-2.66, 1 Nb 2.55

Results
**Space group**: Immm (71)
**Calculated volume**: 136 Å³/f.u.

=====

No. 11
Mn2NbNi9: optimized geometry, PBE.

a b c (Å): 3.6172 3.6172 10.7910
angles (deg): 90.00 90.00 90.00
With the nearest neighbours (Å) after each atom.
Fractional coordinates of all 12 atoms:
Mn  0.0000  0.0000  0.1604  12 Ni 2.50-2.57
Mn  0.0000  0.0000  0.8396  12 Ni 2.50-2.57
Nb  0.0000  0.0000  0.5000  12 Ni 2.56-2.58
Ni  0.0000  0.5000  0.0000  4 Mn 2.50, 8 Ni 2.54-2.56
Ni  0.0000  0.5000  0.3294  8 Ni 2.53-2.58, 2 Mn 2.57, 2 Nb 2.58
Ni  0.0000  0.5000  0.6706  8 Ni 2.53-2.58, 2 Mn 2.57, 2 Nb 2.58
Ni  0.5000  0.0000  0.0000  4 Mn 2.50, 8 Ni 2.54-2.56
Ni  0.5000  0.0000  0.3294  8 Ni 2.53-2.58, 2 Mn 2.57, 2 Nb 2.58
Ni  0.5000  0.0000  0.6706  8 Ni 2.53-2.58, 2 Mn 2.57, 2 Nb 2.58
Ni  0.5000  0.5000  0.1655  8 Ni 2.53-2.54, 4 Mn 2.56
Ni  0.5000  0.5000  0.5000  4 Nb 2.56, 8 Ni 2.58
Ni  0.5000  0.5000  0.8345  8 Ni 2.53-2.54, 4 Mn 2.56

Results
**Space group**: P4/mmm (123)
**Calculated volume**: 141 Å³/f.u.

=====

No. 12
Mn3NbNi: optimized geometry, PBE.

a b c (Å): 4.3771 4.3771 4.3771
angles (deg): 90.00 90.00 90.00
With the nearest neighbours (Å) after each atom.
Fractional coordinates of all 5 atoms:
Mn  0.0000  0.0000  0.5000  2 Ni 2.19
Mn  0.0000  0.5000  0.0000  2 Ni 2.19
Mn  0.5000  0.0000  0.0000  2 Ni 2.19
Nb  0.5000  0.5000  0.5000  12 Mn 3.10
Ni  0.0000  0.0000  0.0000  6 Mn 2.19

Results
**Space group**: Pm-3m (221)
**Calculated volume**: 84 Å³/f.u.
**Energy relative to the lowest polymorph listed for this composition**: 0 meV per atom

=====

No. 13
MnNbNi2: optimized geometry, PBE.

a b c (Å): 9.0177 9.0177 9.0177
angles (deg): 157.01 157.01 32.73
With the nearest neighbours (Å) after each atom.
Fractional coordinates of all 8 atoms:
Mn  0.0000  0.0000  0.0000  4 Ni 2.48, 4 Nb 2.54
Mn  0.7500  0.2500  0.5000  4 Ni 2.48, 4 Nb 2.54
Nb  0.2500  0.7500  0.5000  4 Ni 2.54, 4 Mn 2.54
Nb  0.5000  0.5000  0.0000  4 Ni 2.54, 4 Mn 2.54
Ni  0.1037  0.6250  0.9787  4 Ni 2.44-2.65, 2 Mn 2.48, 2 Nb 2.54
Ni  0.3750  0.3537  0.4787  4 Ni 2.44-2.65, 2 Mn 2.48, 2 Nb 2.54
Ni  0.6463  0.1250  0.0213  4 Ni 2.44-2.65, 2 Mn 2.48, 2 Nb 2.54
Ni  0.8750  0.8963  0.5213  4 Ni 2.44-2.65, 2 Mn 2.48, 2 Nb 2.54

Results
**Space group**: I-42d (122)
**Calculated volume**: 56 Å³/f.u.
**Energy relative to the lowest polymorph listed for this composition**: 512 meV per atom

=====

No. 14
Mn2NbNi2: optimized geometry, PBE.

a b c (Å): 6.9452 6.9452 2.5695
angles (deg): 90.00 90.00 90.00
With the nearest neighbours (Å) after each atom.
Fractional coordinates of all 10 atoms:
Mn  0.1097  0.3903  0.0000  1 Mn 2.16, 2 Ni 2.41
Mn  0.3903  0.8903  0.0000  1 Mn 2.16, 2 Ni 2.41
Mn  0.6097  0.1097  0.0000  1 Mn 2.16, 2 Ni 2.41
Mn  0.8903  0.6097  0.0000  1 Mn 2.16, 2 Ni 2.41
Nb  0.0000  0.0000  0.0000  2 Nb 2.57, 4 Mn 2.82, 8 Ni 2.85
Nb  0.5000  0.5000  0.0000  2 Nb 2.57, 4 Mn 2.82, 8 Ni 2.85
Ni  0.1824  0.6824  0.5000  6 Mn 2.41-2.45, 2 Ni 2.57
Ni  0.3176  0.1824  0.5000  6 Mn 2.41-2.45, 2 Ni 2.57
Ni  0.6824  0.8176  0.5000  6 Mn 2.41-2.45, 2 Ni 2.57
Ni  0.8176  0.3176  0.5000  6 Mn 2.41-2.45, 2 Ni 2.57

Results
**Space group**: P4/mbm (127)
**Calculated volume**: 62 Å³/f.u.
**Energy relative to the lowest polymorph listed for this composition**: 0 meV per atom

=====

No. 15
MnNbNi3: optimized geometry, PBE.

a b c (Å): 4.8869 4.8869 5.0100
angles (deg): 90.00 90.00 120.00
With the nearest neighbours (Å) after each atom.
Fractional coordinates of all 5 atoms:
Mn  0.0000  0.0000  0.0000  2 Nb 2.50
Nb  0.0000  0.0000  0.5000  6 Ni 2.44, 2 Mn 2.50
Ni  0.0000  0.5000  0.5000  2 Nb 2.44, 4 Ni 2.44
Ni  0.5000  0.0000  0.5000  2 Nb 2.44, 4 Ni 2.44
Ni  0.5000  0.5000  0.5000  2 Nb 2.44, 4 Ni 2.44

Results
**Space group**: P6/mmm (191)
**Calculated volume**: 104 Å³/f.u.
**Energy relative to the lowest polymorph listed for this composition**: 104 meV per atom

=====

No. 16
MnNbNi2: optimized geometry, PBE.

a b c (Å): 4.2489 4.2489 4.2489
angles (deg): 60.00 60.00 60.00
With the nearest neighbours (Å) after each atom.
Fractional coordinates of all 4 atoms:
Mn  0.0000  0.0000  0.0000  8 Ni 2.60
Nb  0.5000  0.5000  0.5000  8 Ni 2.60
Ni  0.2500  0.2500  0.2500  4 Mn 2.60, 4 Nb 2.60
Ni  0.7500  0.7500  0.7500  4 Mn 2.60, 4 Nb 2.60

Results
**Space group**: Fm-3m (225)
**Calculated volume**: 54 Å³/f.u.
**Energy relative to the lowest polymorph listed for this composition**: 118 meV per atom

=====

No. 17
Mn2NbNi2: optimized geometry, PBE.

a b c (Å): 5.6129 5.6129 5.6129
angles (deg): 142.64 142.64 53.86
With the nearest neighbours (Å) after each atom.
Fractional coordinates of all 5 atoms:
Mn  0.0978  0.0978  0.0000  1 Mn 1.96
Mn  0.9022  0.9022  0.0000  1 Mn 1.96
Nb  0.5000  0.5000  0.0000  8 Mn 2.72
Ni  0.2500  0.7500  0.5000  4 Mn 2.36, 4 Ni 2.54
Ni  0.7500  0.2500  0.5000  4 Mn 2.36, 4 Ni 2.54

Results
**Space group**: I4/mmm (139)
**Calculated volume**: 65 Å³/f.u.
**Energy relative to the lowest polymorph listed for this composition**: 15 meV per atom

=====

No. 18
Mn2Nb2Ni: optimized geometry, PBE.

a b c (Å): 6.1438 6.1438 3.7711
angles (deg): 90.00 90.00 90.00
With the nearest neighbours (Å) after each atom.
Fractional coordinates of all 10 atoms:
Mn  0.1192  0.3808  0.0000  1 Mn 2.07
Mn  0.3808  0.8808  0.0000  1 Mn 2.07
Mn  0.6192  0.1192  0.0000  1 Mn 2.07
Mn  0.8808  0.6192  0.0000  1 Mn 2.07
Nb  0.1884  0.6884  0.5000  6 Mn 2.52-2.70
Nb  0.3116  0.1884  0.5000  6 Mn 2.52-2.70
Nb  0.6884  0.8116  0.5000  6 Mn 2.52-2.70
Nb  0.8116  0.3116  0.5000  6 Mn 2.52-2.70
Ni  0.0000  0.0000  0.0000  4 Mn 2.45
Ni  0.5000  0.5000  0.0000  4 Mn 2.45

Results
**Space group**: P4/mbm (127)
**Calculated volume**: 71 Å³/f.u.

=====

No. 19
MnNbNi2: optimized geometry, PBE.

a b c (Å): 3.6699 3.6699 3.7960
angles (deg): 90.00 90.00 90.00
With the nearest neighbours (Å) after each atom.
Fractional coordinates of all 4 atoms:
Mn  0.0000  0.0000  0.0000  4 Nb 2.60, 8 Ni 2.64
Nb  0.5000  0.5000  0.0000  4 Mn 2.60, 8 Ni 2.64
Ni  0.0000  0.5000  0.5000  4 Ni 2.60, 4 Nb 2.64, 4 Mn 2.64
Ni  0.5000  0.0000  0.5000  4 Ni 2.60, 4 Nb 2.64, 4 Mn 2.64

Results
**Space group**: P4/mmm (123)
**Calculated volume**: 51 Å³/f.u.
**Energy relative to the lowest polymorph listed for this composition**: 0 meV per atom

=====

No. 20
MnNbNi3: optimized geometry, PBE.

a b c (Å): 4.2059 4.2059 4.2059
angles (deg): 90.00 90.00 90.00
With the nearest neighbours (Å) after each atom.
Fractional coordinates of all 5 atoms:
Mn  0.0000  0.0000  0.0000  6 Ni 2.10
Nb  0.5000  0.5000  0.5000  12 Ni 2.97
Ni  0.0000  0.0000  0.5000  2 Mn 2.10
Ni  0.0000  0.5000  0.0000  2 Mn 2.10
Ni  0.5000  0.0000  0.0000  2 Mn 2.10

Results
**Space group**: Pm-3m (221)
**Calculated volume**: 74 Å³/f.u.
**Energy relative to the lowest polymorph listed for this composition**: 0 meV per atom

=====

For the records above, the corresponding raw total energy values read -9.4121; -7.6149; -9.2631; -9.4545; -9.0676; -7.7749; -9.5162; -9.2924; -7.2239; -6.7984; -6.8629; -7.7947; -7.3607; -7.8848; -6.2396; -7.7544; -7.8696; -8.7810; -7.8724; -6.3433 eV/atom.